No. 1
# La2ScHgO

Crystalline La2ScHgO at its relaxed geometry (PBE, Alexandria via LeMat-Bulk).

Results
Space group   P4/mmm
Uncorrected formation energy   -1.34 eV/atom

abc: 5.2192 5.2192 4.3296
angles: 90.00 90.00 90.00
Positions (direct):
Hg1 0.5000 0.5000 0.5000
La1 0.0000 0.5000 0.0000
La2 0.5000 0.0000 0.0000
Sc1 0.0000 0.0000 0.5000
O1 0.0000 0.0000 0.0000

=====

No. 2
# HoEr2Ge3Pt4

Crystalline HoEr2Ge3Pt4 at its relaxed geometry (PBE, Alexandria via LeMat-Bulk).

Results
Formation enthalpy at 0 K   -930 meV per atom
Space group   P-4m2

abc: 4.1550 4.1550 11.4957
angles: 90.00 90.00 90.00
Positions (direct):
Pt1 0.0000 0.0000 0.0000
Pt2 0.0000 0.5000 0.3398
Pt3 0.5000 0.0000 0.6602
Pt4 0.5000 0.5000 0.0000
Ge1 0.5000 0.0000 0.8715
Ge2 0.0000 0.0000 0.5000
Ge3 0.0000 0.5000 0.1285
Er1 0.0000 0.5000 0.7780
Er2 0.5000 0.0000 0.2220
Ho1 0.5000 0.5000 0.5000

=====

No. 3
# Sr2CaGe3Au12

Crystalline Sr2CaGe3Au12 at its relaxed geometry (PBE, Alexandria via LeMat-Bulk).

Results
Formation enthalpy at 0 K   -161 meV per atom
Space group   R-3m

abc: 7.9564 7.9564 7.9564
angles: 72.86 72.86 72.86
Positions (direct):
Au1 0.8403 0.3121 0.3121
Au2 0.8471 0.3646 0.8471
Au3 0.1529 0.1529 0.6354
Au4 0.6879 0.1597 0.6879
Au5 0.1597 0.6879 0.6879
Au6 0.8471 0.8471 0.3646
Au7 0.3646 0.8471 0.8471
Au8 0.6879 0.6879 0.1597
Au9 0.3121 0.8403 0.3121
Au10 0.6354 0.1529 0.1529
Au11 0.1529 0.6354 0.1529
Au12 0.3121 0.3121 0.8403
Sr1 0.6047 0.6047 0.6047
Sr2 0.3953 0.3953 0.3953
Ge1 0.0000 0.0000 0.5000
Ge2 0.5000 0.0000 0.0000
Ge3 0.0000 0.5000 0.0000
Ca1 0.0000 0.0000 0.0000

=====

No. 4
# PrHo2Si6

Crystalline PrHo2Si6 at its relaxed geometry (PBE, Alexandria via LeMat-Bulk).

Results
Space group   P6/mmm
Uncorrected formation energy   -0.53 eV/atom

abc: 4.0017 7.1331 7.1331
angles: 120.00 90.00 90.00
Positions (direct):
Ho1 0.0000 0.3333 0.6667
Ho2 0.0000 0.6667 0.3333
Si1 0.5000 0.3368 0.3368
Si2 0.5000 0.0000 0.3368
Si3 0.5000 0.6632 0.6632
Si4 0.5000 0.6632 0.0000
Si5 0.5000 0.3368 0.0000
Si6 0.5000 0.0000 0.6632
Pr1 0.0000 0.0000 0.0000

=====

No. 5
# Ac2Sn2Rh5

Crystalline Ac2Sn2Rh5 at its relaxed geometry (PBE, Alexandria via LeMat-Bulk).

Results
Formation enthalpy at 0 K   -487 meV per atom
Space group   P4/mmm

abc: 4.5379 4.5379 9.3644
angles: 90.00 90.00 90.00
Positions (direct):
Ac1 0.0000 0.0000 0.5000
Ac2 0.0000 0.0000 0.0000
Rh1 0.5000 0.0000 0.2859
Rh2 0.0000 0.5000 0.7141
Rh3 0.5000 0.0000 0.7141
Rh4 0.5000 0.5000 0.5000
Rh5 0.0000 0.5000 0.2859
Sn1 0.5000 0.5000 0.1566
Sn2 0.5000 0.5000 0.8434